(1)
# KScFe

KScFe at its PBEsol-relaxed geometry (SCAN, Alexandria via LeMat-Bulk).

Structure (CIF):
```
data_KScFe
_chemical_formula_sum 'K1 Sc1 Fe1'
_cell_length_a 3.2589
_cell_length_b 3.2589
_cell_length_c 7.8342
_cell_angle_alpha 90.00
_cell_angle_beta 90.00
_cell_angle_gamma 120.00
_symmetry_space_group_name_H-M 'P 3 m 1'
_symmetry_Int_Tables_number 156
_symmetry_space_group_name_Hall 'P 3 -2"'
loop_
_atom_site_label
_atom_site_type_symbol
_atom_site_fract_x
_atom_site_fract_y
_atom_site_fract_z
K1 K 0.0000 0.0000 0.0000
Sc1 Sc 0.3333 0.6667 0.5461
Fe1 Fe 0.6667 0.3333 0.3331
```

**ΔE_f**: 73.2 kJ per mole of atoms
**Crystal system**: trigonal


(2)
# Y2HgSe

Y2HgSe at its PBEsol-relaxed geometry (SCAN, Alexandria via LeMat-Bulk).

Structure (CIF):
```
data_Y2HgSe
_chemical_formula_sum 'Y6 Hg3 Se3'
_cell_length_a 3.9298
_cell_length_b 3.9298
_cell_length_c 22.3935
_cell_angle_alpha 90.00
_cell_angle_beta 90.00
_cell_angle_gamma 120.00
_symmetry_space_group_name_H-M 'R -3 m'
_symmetry_Int_Tables_number 166
_symmetry_space_group_name_Hall '-R 3 2"'
loop_
_atom_site_label
_atom_site_type_symbol
_atom_site_fract_x
_atom_site_fract_y
_atom_site_fract_z
Y1 Y 0.0000 0.0000 0.2430
Hg1 Hg 0.0000 0.0000 0.0000
Se1 Se 0.0000 0.0000 0.5000
```

**Formation energy without anion corrections**: -1.371 eV per atom
**Crystal system**: trigonal


(3)
# MnHgBr2

MnHgBr2 at its PBEsol-relaxed geometry (SCAN, Alexandria via LeMat-Bulk).

Structure (CIF):
```
data_MnHgBr2
_chemical_formula_sum 'Mn4 Hg4 Br8'
_cell_length_a 7.1819
_cell_length_b 7.1819
_cell_length_c 7.1819
_cell_angle_alpha 90.00
_cell_angle_beta 90.00
_cell_angle_gamma 90.00
_symmetry_space_group_name_H-M 'F -4 3 m'
_symmetry_Int_Tables_number 216
_symmetry_space_group_name_Hall 'F -4 2 3'
loop_
_atom_site_label
_atom_site_type_symbol
_atom_site_fract_x
_atom_site_fract_y
_atom_site_fract_z
Mn1 Mn 0.0000 0.0000 0.0000
Hg1 Hg 0.2500 0.2500 0.2500
Br1 Br 0.0000 0.0000 0.5000
Br2 Br 0.2500 0.2500 0.7500
```

**Formation energy without anion corrections**: -0.061 eV per atom
**Crystal system**: cubic